Compound: MnReSnCSe
Source: the Alexandria database
Functional: PBE-GGA
Structure: optimized geometry

Lattice parameters (Å, degrees): 10.1909 2.9380 7.1205 90.00 107.59 90.00
With the nearest neighbours (Å) after each atom.
Positions (direct):
Mn1 0.0000 0.0000 0.0000  2 C 1.96
Mn2 0.5000 0.5000 0.0000  2 C 1.96
Re1 0.2687 0.0000 0.0676  2 C 1.99
Re2 0.7687 0.5000 0.0676  2 C 1.99
Sn1 0.4791 0.5000 0.3683  1 Mn 2.69, 2 Re 2.93, 2 Sn 2.94
Sn2 0.9791 0.0000 0.3683  1 Mn 2.69, 2 Re 2.93, 2 Sn 2.94
C1 0.1329 0.5000 0.0416  2 Mn 1.96, 2 Re 1.99
C2 0.6329 0.0000 0.0416  2 Mn 1.96, 2 Re 1.99
Se1 0.3343 0.0000 0.7684  1 Re 2.42, 2 Mn 2.46
Se2 0.8343 0.5000 0.7684  1 Re 2.42, 2 Mn 2.46

Summary:
- Excess energy over the best structure of this formula in the dataset: 135 meV/atom
- Formation energy from raw total energies: 0.24 eV per atom
- Raw total energy: -7.422 eV/atom
- Total magnetic moment: 1.869 μB/f.u.